(1)
! PBE-GGA HgIr2Rh, relaxed; values from VASP
&SYSTEM
  ibrav = 0, nat = 4, ntyp = 3
/
ATOMIC_SPECIES
Rh 102.91 Rh.upf
Hg 200.59 Hg.upf
Ir 192.22 Ir.upf
CELL_PARAMETERS angstrom
0.000 3.181 3.181
3.181 0.000 3.181
3.181 3.181 0.000
ATOMIC_POSITIONS angstrom
Rh 1.591 1.591 1.591
Hg 3.181 3.181 3.181
Ir 0.000 0.000 0.000
Ir 4.772 4.772 4.772
! DOS at the Fermi energy, states/eV/cell: 7.382
! Calculated formation energy, eV per atom: 0.574

***

(2)
! PBE-GGA HgIr2Rh, relaxed; values from VASP
&SYSTEM
  ibrav = 0, nat = 4, ntyp = 3
/
ATOMIC_SPECIES
Hg 200.59 Hg.upf
Ir 192.22 Ir.upf
Rh 102.91 Rh.upf
CELL_PARAMETERS angstrom
-1.394 2.396 4.878
1.394 -2.396 4.878
1.394 2.396 -4.878
ATOMIC_POSITIONS angstrom
Hg 0.000 2.396 2.463
Ir 0.000 0.000 0.183
Rh 0.000 0.000 4.711
Ir 1.394 0.000 2.399
! DOS at the Fermi energy, states/eV/cell: 4.762
! Calculated formation energy, eV per atom: 0.440

***

(3)
! PBE-GGA HgIrRh2, relaxed; values from VASP
&SYSTEM
  ibrav = 0, nat = 4, ntyp = 3
/
ATOMIC_SPECIES
Rh 102.91 Rh.upf
Ir 192.22 Ir.upf
Hg 200.59 Hg.upf
CELL_PARAMETERS angstrom
-0.283 0.180 9.268
-1.092 -2.498 8.865
1.658 -1.847 8.936
ATOMIC_POSITIONS angstrom
Rh 0.211 -3.101 20.152
Ir 0.000 0.000 0.000
Rh 0.073 -1.064 6.917
Hg 0.142 -2.082 13.534
! DOS at the Fermi energy, states/eV/cell: 2.975
! Calculated formation energy, eV per atom: 0.184

***

(4)
! PBE-GGA HgIrRh2, relaxed; values from VASP
&SYSTEM
  ibrav = 0, nat = 4, ntyp = 3
/
ATOMIC_SPECIES
Rh 102.91 Rh.upf
Hg 200.59 Hg.upf
Ir 192.22 Ir.upf
CELL_PARAMETERS angstrom
0.000 3.177 3.177
3.177 0.000 3.177
3.177 3.177 0.000
ATOMIC_POSITIONS angstrom
Rh 1.588 1.588 1.588
Hg 3.177 3.177 3.177
Ir 4.765 4.765 4.765
Rh 0.000 0.000 0.000
! DOS at the Fermi energy, states/eV/cell: 5.863
! Calculated formation energy, eV per atom: 0.478